(1)
The following is a DFT calculation (PBE) of a relaxed EuTe2H crystal.

Cell: 3.4958 3.4958 28.5806 Å, 90.00 90.00 120.00°
Space group R-3m (No. 166, hexagonal axes)
Inequivalent atoms, fractional coordinates:
Eu1 0.0000 0.0000 0.0000 x3
Te1 0.0000 0.0000 0.1101 x6
H1 0.0000 0.0000 0.5000 x3

Output
Theoretical density, g/cm³: 6.72
Calculated total energy, eV/cell: -55.012

***

(2)
The following is a DFT calculation (PBE) of a relaxed Eu3ThH crystal.

Cell: 5.237 5.237 5.237 Å, 90.00 90.00 90.00°
Space group Pm-3m (No. 221)
Inequivalent atoms, fractional coordinates:
Eu1 0.000 0.000 0.500 x3
Th1 0.500 0.500 0.500 x1
H1 0.000 0.000 0.000 x1

Output
Theoretical density, g/cm³: 7.96
Calculated total energy, eV/cell: -41.511

***

(3)
The following is a DFT calculation (PBE) of a relaxed EuTh2H crystal.

Cell: 3.4889 3.4889 30.1635 Å, 90.00 90.00 120.00°
Space group R-3m (No. 166, hexagonal axes)
Inequivalent atoms, fractional coordinates:
Eu1 0.0000 0.0000 0.0000 x3
Th1 0.0000 0.0000 0.1145 x6
H1 0.0000 0.0000 0.5000 x3

Output
Theoretical density, g/cm³: 9.67
Calculated total energy, eV/cell: -84.343

***

(4)
The following is a DFT calculation (PBE) of a relaxed EuTiH crystal.

Cell: 3.2211 3.2211 11.3780 Å, 90.00 90.00 120.00°
Space group P-6m2 (No. 187)
Inequivalent atoms, fractional coordinates:
Eu1 0.0000 0.0000 0.1517 x2
Ti1 0.3333 0.6667 0.3875 x2
H1 0.6667 0.3333 0.0000 x1
H2 0.6667 0.3333 0.5000 x1

Output
Theoretical density, g/cm³: 6.52
Calculated total energy, eV/cell: -42.064